## Mg2Cr5P6O24 (SCAN)

Data for a crystal of Mg2Cr5P6O24 relaxed with PBEsol.

mass density = 3.7 g cm⁻³
V = 398 Å³/f.u.
M_tot = 16.0 μB per formula unit

Cell lengths 6.285, 7.861, 9.236 Å; angles 105.24, 108.57, 101.14 degrees
Each line ends with the local moment (μB).
Fractional coordinates of all 37 atoms:
Cr 0.948 0.784 0.978  2.85
Cr 0.052 0.216 0.022  2.85
Cr 0.616 0.039 0.388  2.98
Cr 0.000 0.500 0.500  3.32
Cr 0.384 0.961 0.612  2.98
O 0.878 0.963 0.340  0.00
O 0.684 0.958 0.581  0.00
O 0.932 0.950 0.846  0.00
O 0.243 0.783 0.967  0.03
O 0.757 0.217 0.033  0.03
O 0.009 0.684 0.157  0.01
O 0.777 0.304 0.556  0.00
O 0.316 0.042 0.419  0.00
O 0.795 0.560 0.795  0.01
O 0.544 0.241 0.730  0.01
O 0.259 0.540 0.729  0.01
O 0.116 0.293 0.422  0.01
O 0.450 0.877 0.791  0.04
O 0.378 0.272 0.010  -0.01
O 0.205 0.440 0.205  0.01
O 0.550 0.123 0.209  0.04
O 0.741 0.460 0.271  0.01
O 0.122 0.037 0.660  0.00
O 0.991 0.316 0.843  0.01
O 0.068 0.050 0.154  0.00
O 0.223 0.696 0.444  0.00
O 0.622 0.728 0.990  -0.01
O 0.456 0.759 0.270  0.01
O 0.884 0.707 0.578  0.01
Mg 0.716 0.688 0.211  0.00
Mg 0.284 0.312 0.789  0.00
P 0.388 0.736 0.867  0.01
P 0.224 0.642 0.267  0.02
P 0.092 0.095 0.334  0.02
P 0.776 0.358 0.733  0.02
P 0.612 0.264 0.133  0.01
P 0.908 0.905 0.666  0.02



## SrMgCrP2O8 (SCAN)

Data for a crystal of SrMgCrP2O8 relaxed with PBEsol.

mass density = 3.8 g cm⁻³
V = 153 Å³/f.u.
M_tot = 4.0 μB per formula unit

Cell lengths 5.639, 6.601, 9.174 Å; angles 109.47, 101.47, 99.14 degrees
Each line ends with the local moment (μB).
Fractional coordinates of all 26 atoms:
O 0.044 0.896 0.322  0.00
O 0.627 0.408 0.597  0.01
O 0.257 0.014 0.882  0.00
O 0.743 0.986 0.118  0.00
O 0.846 0.557 0.878  0.00
O 0.633 0.477 0.198  0.01
O 0.661 0.809 0.754  0.00
O 0.367 0.523 0.802  0.01
O 0.339 0.191 0.246  0.00
O 0.956 0.104 0.678  0.00
O 0.617 0.932 0.352  0.03
O 0.154 0.443 0.122  0.00
O 0.050 0.723 0.598  0.03
O 0.383 0.068 0.648  0.03
O 0.950 0.277 0.402  0.03
O 0.373 0.592 0.403  0.01
Sr 0.734 0.203 0.940  0.00
Sr 0.266 0.797 0.060  0.00
Mg 0.007 0.418 0.650  0.00
Mg 0.993 0.582 0.350  0.00
P 0.164 0.974 0.706  0.01
P 0.617 0.577 0.762  0.01
P 0.383 0.423 0.238  0.01
P 0.836 0.026 0.294  0.01
Cr 0.354 0.150 0.455  3.65
Cr 0.646 0.850 0.545  3.65



## Mg2CrPtO (SCAN)

Data for a crystal of Mg2CrPtO relaxed with PBEsol.

mass density = 7.6 g cm⁻³
V = 68 Å³/f.u.
M_tot = 3.7 μB per formula unit

Cell lengths 3.952, 4.141, 4.141 Å; angles 90.00, 90.00, 90.00 degrees
Each line ends with the local moment (μB).
Fractional coordinates of all 5 atoms:
O 0.000 0.000 0.000  0.04
Mg 0.000 0.000 0.500  0.00
Mg 0.000 0.500 0.000  0.00
Pt 0.500 0.500 0.500  0.05
Cr 0.500 0.000 0.000  3.36



## MgCr3S6O24 (SCAN)

Data for a crystal of MgCr3S6O24 relaxed with PBEsol.

mass density = 3.0 g cm⁻³
V = 422 Å³/f.u.
M_tot = 8.0 μB per formula unit

Cell lengths 8.130, 8.130, 8.745 Å; angles 62.30, 62.30, 60.00 degrees
Each line ends with the local moment (μB).
Fractional coordinates of all 34 atoms:
O 0.631 0.372 0.763  -0.01
O 0.043 0.674 0.309  -0.01
O 0.110 0.290 0.082  -0.01
O 0.288 0.340 0.397  -0.01
O 0.388 0.621 0.236  0.00
O 0.621 0.755 0.236  0.00
O 0.018 0.720 0.604  -0.01
O 0.714 0.485 0.920  0.00
O 0.290 0.518 0.082  -0.01
O 0.720 0.658 0.604  -0.01
O 0.518 0.110 0.082  -0.01
O 0.485 0.881 0.920  0.00
O 0.972 0.330 0.694  0.00
O 0.881 0.714 0.920  0.00
O 0.340 0.976 0.397  -0.01
O 0.372 0.234 0.763  -0.01
O 0.974 0.043 0.309  -0.01
O 0.330 0.003 0.694  0.00
O 0.674 0.974 0.309  -0.01
O 0.658 0.018 0.604  -0.01
O 0.755 0.388 0.236  0.00
O 0.234 0.631 0.763  -0.01
O 0.003 0.972 0.694  0.00
O 0.976 0.288 0.397  -0.01
Cr 0.847 0.847 0.458  2.45
Cr 0.152 0.152 0.543  2.62
Cr 0.644 0.644 0.067  2.70
S 0.037 0.758 0.746  0.01
S 0.758 0.459 0.746  0.01
S 0.538 0.957 0.252  0.01
S 0.253 0.538 0.252  0.01
S 0.957 0.253 0.252  0.01
S 0.459 0.037 0.746  0.01
Mg 0.358 0.358 0.925  0.00



## MgCr7S12O48 (SCAN)

Data for a crystal of MgCr7S12O48 relaxed with PBEsol.

mass density = 3.0 g cm⁻³
V = 840 Å³/f.u.
M_tot = 20.0 μB per formula unit

Cell lengths 8.122, 8.721, 14.066 Å; angles 74.40, 89.98, 62.25 degrees
Each line ends with the local moment (μB).
Fractional coordinates of all 68 atoms:
O 0.199 0.235 0.811  0.00
O 0.951 0.232 0.194  0.00
O 0.496 0.698 0.479  0.00
O 0.638 0.694 0.665  0.00
O 0.454 0.920 0.742  0.00
O 0.163 0.308 0.488  0.00
O 0.498 0.308 0.519  0.00
O 0.457 0.398 0.169  0.01
O 0.432 0.922 0.942  0.01
O 0.946 0.924 0.244  0.01
O 0.502 0.233 0.879  0.00
O 0.695 0.234 0.311  0.00
O 0.260 0.077 0.150  0.01
O 0.075 0.080 0.555  0.00
O 0.616 0.401 0.642  0.00
O 0.958 0.396 0.670  0.00
O 0.041 0.605 0.328  0.01
O 0.669 0.602 0.013  0.01
O 0.378 0.607 0.355  0.00
O 0.121 0.703 0.163  0.01
O 0.005 0.302 0.022  0.00
O 0.448 0.237 0.691  0.00
O 0.327 0.398 0.987  0.01
O 0.051 0.081 0.759  0.00
O 0.122 0.394 0.146  0.01
O 0.546 0.771 0.307  0.00
O 0.493 0.771 0.119  0.00
O 0.663 0.302 0.992  0.01
O 0.802 0.771 0.187  0.00
O 0.553 0.079 0.255  0.01
O 0.549 0.604 0.830  -0.01
O 0.829 0.396 0.488  0.00
O 0.566 0.079 0.055  0.01
O 0.986 0.698 0.986  0.01
O 0.756 0.084 0.644  0.00
O 0.170 0.607 0.507  0.00
O 0.318 0.760 0.686  -0.01
O 0.376 0.303 0.335  0.00
O 0.238 0.923 0.353  0.01
O 0.835 0.694 0.501  0.00
O 0.740 0.921 0.853  0.01
O 0.925 0.923 0.443  0.01
O 0.880 0.603 0.860  0.00
O 0.055 0.759 0.816  0.00
O 0.881 0.305 0.838  0.00
O 0.000 0.237 0.377  0.00
O 0.992 0.759 0.619  0.00
O 0.331 0.703 0.007  0.01
S 0.917 0.746 0.878  0.01
S 0.583 0.254 0.624  0.01
S 0.519 0.254 0.267  0.01
S 0.515 0.254 0.979  0.01
S 0.414 0.749 0.374  0.01
S 0.488 0.745 0.730  0.01
S 0.085 0.252 0.127  0.01
S 0.980 0.746 0.519  0.01
S 0.979 0.750 0.231  0.01
S 0.481 0.749 0.019  0.01
S 0.018 0.252 0.479  0.01
S 0.022 0.251 0.769  0.01
Cr 0.532 0.934 0.177  2.77
Cr 0.965 0.068 0.324  2.76
Cr 0.271 0.457 0.423  2.64
Cr 0.731 0.543 0.576  2.67
Cr 0.225 0.548 0.075  2.75
Cr 0.468 0.068 0.820  2.73
Cr 0.773 0.456 0.924  2.64
Mg 0.039 0.924 0.679  0.00



## Mg2CrSbO6 (SCAN)

Data for a crystal of Mg2CrSbO6 relaxed with PBEsol.

mass density = 5.2 g cm⁻³
V = 102 Å³/f.u.
M_tot = 3.0 μB per formula unit

Cell lengths 5.097, 5.305, 7.530 Å; angles 90.00, 90.00, 90.51 degrees
Each line ends with the local moment (μB).
Fractional coordinates of all 20 atoms:
Mg 0.999 0.042 0.250  0.00
Mg 0.480 0.425 0.750  0.00
Mg 0.520 0.575 0.250  0.00
Mg 0.001 0.958 0.750  0.00
Cr 0.500 0.000 0.500  2.80
Cr 0.500 0.000 0.000  2.80
O 0.320 0.685 0.930  0.01
O 0.861 0.570 0.750  0.01
O 0.819 0.812 0.070  0.01
O 0.320 0.685 0.570  0.01
O 0.181 0.188 0.570  0.01
O 0.819 0.812 0.430  0.01
O 0.625 0.066 0.750  0.01
O 0.680 0.315 0.070  0.01
O 0.375 0.934 0.250  0.01
O 0.181 0.188 0.930  0.01
O 0.680 0.315 0.430  0.01
O 0.139 0.430 0.250  0.01
Sb 0.000 0.500 0.500  0.02
Sb 0.000 0.500 0.000  0.02



## MgCrSi4O10 (SCAN)

Data for a crystal of MgCrSi4O10 relaxed with PBEsol.

mass density = 3.0 g cm⁻³
V = 193 Å³/f.u.
M_tot = 4.0 μB per formula unit

Cell lengths 7.228, 7.228, 14.771 Å; angles 90.00, 90.00, 90.00 degrees
Each line ends with the local moment (μB).
Fractional coordinates of all 64 atoms:
O 0.305 0.695 0.750  0.00
O 0.736 0.584 0.426  0.00
O 0.236 0.916 0.074  0.00
O 0.753 0.057 0.877  0.00
O 0.584 0.264 0.574  0.00
O 0.443 0.747 0.377  0.00
O 0.943 0.247 0.623  0.00
O 0.916 0.764 0.926  0.00
O 0.264 0.584 0.926  0.00
O 0.253 0.557 0.123  0.00
O 0.805 0.805 0.750  0.00
O 0.195 0.195 0.750  0.00
O 0.057 0.753 0.623  0.00
O 0.764 0.084 0.074  0.00
O 0.443 0.253 0.877  0.00
O 0.264 0.416 0.426  0.00
O 0.416 0.736 0.574  0.00
O 0.736 0.416 0.926  0.00
O 0.557 0.747 0.877  0.00
O 0.747 0.443 0.123  0.00
O 0.916 0.236 0.426  0.00
O 0.247 0.057 0.377  0.00
O 0.247 0.943 0.877  0.00
O 0.943 0.753 0.123  0.00
O 0.695 0.305 0.750  0.00
O 0.557 0.253 0.377  0.00
O 0.764 0.916 0.574  0.00
O 0.805 0.195 0.250  0.00
O 0.747 0.557 0.623  0.00
O 0.253 0.443 0.623  0.00
O 0.584 0.736 0.074  0.00
O 0.195 0.805 0.250  0.00
O 0.084 0.764 0.426  0.00
O 0.084 0.236 0.926  0.00
O 0.305 0.305 0.250  0.00
O 0.753 0.943 0.377  0.00
O 0.057 0.247 0.123  0.00
O 0.695 0.695 0.250  0.00
O 0.416 0.264 0.074  0.00
O 0.236 0.084 0.574  0.00
Cr 0.000 0.500 0.930  3.62
Cr 0.000 0.500 0.430  3.62
Cr 0.500 0.000 0.570  3.62
Cr 0.500 0.000 0.070  3.62
Si 0.740 0.335 0.644  0.00
Si 0.260 0.665 0.644  0.00
Si 0.165 0.240 0.644  0.00
Si 0.760 0.165 0.356  0.00
Si 0.740 0.665 0.144  0.00
Si 0.835 0.760 0.644  0.00
Si 0.240 0.835 0.356  0.00
Si 0.335 0.740 0.856  0.00
Si 0.665 0.260 0.856  0.00
Si 0.260 0.335 0.144  0.00
Si 0.835 0.240 0.144  0.00
Si 0.240 0.165 0.856  0.00
Si 0.665 0.740 0.356  0.00
Si 0.335 0.260 0.356  0.00
Si 0.165 0.760 0.144  0.00
Si 0.760 0.835 0.856  0.00
Mg 0.500 0.500 0.000  0.00
Mg 0.500 0.500 0.500  0.00
Mg 0.000 0.000 0.000  0.00
Mg 0.000 0.000 0.500  0.00



## Mg3Cr2Si3O12 (SCAN)

Data for a crystal of Mg3Cr2Si3O12 relaxed with PBEsol.

mass density = 3.9 g cm⁻³
V = 195 Å³/f.u.
M_tot = 6.0 μB per formula unit

Cell lengths 10.048, 10.048, 10.048 Å; angles 109.47, 109.47, 109.47 degrees
Each line ends with the local moment (μB).
Fractional coordinates of all 80 atoms:
O 0.877 0.789 0.479  0.01
O 0.711 0.623 0.021  0.01
O 0.479 0.189 0.102  0.01
O 0.123 0.912 0.102  0.01
O 0.623 0.521 0.211  0.01
O 0.398 0.521 0.311  0.01
O 0.912 0.311 0.789  0.01
O 0.377 0.898 0.088  0.01
O 0.398 0.877 0.588  0.01
O 0.102 0.412 0.123  0.01
O 0.123 0.211 0.521  0.01
O 0.377 0.479 0.789  0.01
O 0.088 0.398 0.377  0.01
O 0.289 0.377 0.979  0.01
O 0.189 0.602 0.979  0.01
O 0.021 0.123 0.711  0.01
O 0.623 0.102 0.912  0.01
O 0.602 0.479 0.689  0.01
O 0.588 0.211 0.689  0.01
O 0.102 0.689 0.479  0.01
O 0.912 0.602 0.623  0.01
O 0.211 0.189 0.088  0.01
O 0.811 0.398 0.021  0.01
O 0.898 0.311 0.521  0.01
O 0.602 0.123 0.412  0.01
O 0.521 0.711 0.123  0.01
O 0.811 0.412 0.289  0.01
O 0.021 0.898 0.811  0.01
O 0.588 0.377 0.398  0.01
O 0.711 0.088 0.189  0.01
O 0.479 0.289 0.877  0.01
O 0.189 0.588 0.711  0.01
O 0.412 0.623 0.602  0.01
O 0.979 0.102 0.189  0.01
O 0.979 0.877 0.289  0.01
O 0.877 0.088 0.898  0.01
O 0.311 0.021 0.398  0.01
O 0.521 0.811 0.898  0.01
O 0.689 0.711 0.588  0.01
O 0.088 0.689 0.211  0.01
O 0.211 0.021 0.623  0.01
O 0.311 0.289 0.412  0.01
O 0.789 0.979 0.377  0.01
O 0.289 0.912 0.811  0.01
O 0.412 0.789 0.311  0.01
O 0.898 0.588 0.877  0.01
O 0.789 0.811 0.912  0.01
O 0.689 0.979 0.602  0.01
Si 0.375 0.625 0.750  0.01
Si 0.625 0.250 0.875  0.01
Si 0.375 0.750 0.125  0.01
Si 0.250 0.375 0.125  0.01
Si 0.125 0.250 0.375  0.01
Si 0.750 0.625 0.875  0.01
Si 0.125 0.875 0.250  0.01
Si 0.875 0.125 0.750  0.01
Si 0.250 0.875 0.625  0.01
Si 0.750 0.125 0.375  0.01
Si 0.875 0.750 0.625  0.01
Si 0.625 0.375 0.250  0.01
Cr 0.500 0.000 0.500  2.82
Cr 0.000 0.000 0.000  2.82
Cr 0.000 0.000 0.500  2.82
Cr 0.000 0.500 0.500  2.82
Cr 0.000 0.500 0.000  2.82
Cr 0.500 0.500 0.500  2.82
Cr 0.500 0.000 0.000  2.82
Cr 0.500 0.500 0.000  2.82
Mg 0.750 0.375 0.625  0.00
Mg 0.625 0.750 0.375  0.00
Mg 0.875 0.625 0.250  0.00
Mg 0.375 0.125 0.250  0.00
Mg 0.125 0.750 0.875  0.00
Mg 0.875 0.250 0.125  0.00
Mg 0.250 0.625 0.375  0.00
Mg 0.375 0.250 0.625  0.00
Mg 0.625 0.875 0.750  0.00
Mg 0.750 0.875 0.125  0.00
Mg 0.250 0.125 0.875  0.00
Mg 0.125 0.375 0.750  0.00



Quick rundown of formation energy (no corrections), same order as above: -96.221, -36.472, -6.711, -63.395, -126.787, -23.655, -46.225, -58.517 eV/f.u.